1.
A relaxed CaZnSe2 crystal. Source: the Alexandria database, functional PBE-GGA.

Output
Formation energy (no corrections) in eV/atom: -0.45
Total DFT energy (no corrections) in eV/atom: -3.01
Calculated volume in Å³ per atom: 28.37
M_tot in μB/cell: 0.000

Cell lengths 3.9964, 3.9964, 24.6112 Å; angles 90.00, 90.00, 120.00 degrees
Sites, in units of the cell vectors:
Ca 0.0000 0.0000 0.0000
Ca 0.3333 0.6667 0.6667
Ca 0.6667 0.3333 0.3333
Zn 0.0000 0.0000 0.5000
Zn 0.3333 0.6667 0.1667
Zn 0.6667 0.3333 0.8333
Se 0.0000 0.0000 0.1105
Se 0.0000 0.0000 0.8895
Se 0.3333 0.6667 0.5562
Se 0.3333 0.6667 0.7772
Se 0.6667 0.3333 0.2228
Se 0.6667 0.3333 0.4438

***

2.
A relaxed Sr2HIr crystal. Source: the Alexandria database, functional PBE-GGA.

Output
Total DFT energy (no corrections) in eV/atom: -3.93
E above lowest polymorph in eV per atom: 0.0000
Calculated volume in Å³ per atom: 22.72
M_tot in μB/cell: 0.000

Cell lengths 7.1373, 7.1373, 7.1373 Å; angles 90.00, 90.00, 90.00 degrees
Sites, in units of the cell vectors:
Sr 0.2500 0.2500 0.2500
Sr 0.2500 0.2500 0.7500
Sr 0.2500 0.7500 0.2500
Sr 0.2500 0.7500 0.7500
Sr 0.7500 0.2500 0.2500
Sr 0.7500 0.2500 0.7500
Sr 0.7500 0.7500 0.2500
Sr 0.7500 0.7500 0.7500
H 0.0000 0.0000 0.0000
H 0.0000 0.5000 0.5000
H 0.5000 0.0000 0.5000
H 0.5000 0.5000 0.0000
Ir 0.0000 0.0000 0.5000
Ir 0.0000 0.5000 0.0000
Ir 0.5000 0.0000 0.0000
Ir 0.5000 0.5000 0.5000

***

3.
A relaxed ErScZnCd crystal. Source: the Alexandria database, functional PBE-GGA.

Output
Calculated formation energy in eV per formula unit: -1.32
Total DFT energy (no corrections) in eV/atom: -3.60
E above lowest polymorph in eV per atom: 0.0000
Calculated volume in Å³ per atom: 22.06
M_tot in μB/cell: 0.000

Cell lengths 3.4734, 3.4734, 7.3123 Å; angles 90.00, 90.00, 90.00 degrees
Sites, in units of the cell vectors:
Er 0.0000 0.0000 0.0000
Sc 0.0000 0.0000 0.4589
Zn 0.5000 0.5000 0.2493
Cd 0.5000 0.5000 0.7124

***

4.
A relaxed LaBe2Mo crystal. Source: the Alexandria database, functional PBE-GGA.

Output
Calculated formation energy in eV per formula unit: 2.27
Total DFT energy (no corrections) in eV/atom: -5.24
E above lowest polymorph in eV per atom: 0.3941
Calculated volume in Å³ per atom: 16.99
M_tot in μB/cell: 4.321

Cell lengths 6.4778, 6.4778, 6.4778 Å; angles 90.00, 90.00, 90.00 degrees
Sites, in units of the cell vectors:
La 0.0000 0.0000 0.0000
La 0.0000 0.5000 0.5000
La 0.5000 0.0000 0.5000
La 0.5000 0.5000 0.0000
Be 0.2500 0.2500 0.2500
Be 0.2500 0.2500 0.7500
Be 0.2500 0.7500 0.2500
Be 0.2500 0.7500 0.7500
Be 0.7500 0.2500 0.2500
Be 0.7500 0.2500 0.7500
Be 0.7500 0.7500 0.2500
Be 0.7500 0.7500 0.7500
Mo 0.0000 0.0000 0.5000
Mo 0.0000 0.5000 0.0000
Mo 0.5000 0.0000 0.0000
Mo 0.5000 0.5000 0.5000

***

5.
A relaxed La3NdTh crystal. Source: the Alexandria database, functional PBE-GGA.

Output
Calculated formation energy in eV per formula unit: 0.08
Total DFT energy (no corrections) in eV/atom: -5.38
E above lowest polymorph in eV per atom: 0.0000
Calculated volume in Å³ per atom: 35.39
M_tot in μB/cell: 0.000

Cell lengths 3.6771, 3.6771, 30.2229 Å; angles 90.00, 90.00, 120.00 degrees
Sites, in units of the cell vectors:
La 0.0000 0.0000 0.0000
La 0.0000 0.0000 0.5000
La 0.3333 0.6667 0.1057
La 0.3333 0.6667 0.7959
La 0.6667 0.3333 0.2959
La 0.6667 0.3333 0.6057
Nd 0.3333 0.6667 0.4017
Nd 0.6667 0.3333 0.9017
Th 0.0000 0.0000 0.2010
Th 0.0000 0.0000 0.7010

***

6.
A relaxed KMn2Zn crystal. Source: the Alexandria database, functional PBE-GGA.

Output
Calculated formation energy in eV per formula unit: 2.56
Total DFT energy (no corrections) in eV/atom: -4.54
Calculated volume in Å³ per atom: 22.11
M_tot in μB/cell: 7.889

Cell lengths 3.2111, 3.2111, 8.5753 Å; angles 90.00, 90.00, 90.00 degrees
Sites, in units of the cell vectors:
K 0.0000 0.0000 0.0000
Mn 0.5000 0.5000 0.3401
Mn 0.5000 0.5000 0.6599
Zn 0.0000 0.0000 0.5000

***

7.
A relaxed LiHoMgAl crystal. Source: the Alexandria database, functional PBE-GGA.

Output
Calculated formation energy in eV per formula unit: -0.79
Total DFT energy (no corrections) in eV/atom: -3.16
Calculated volume in Å³ per atom: 20.97
M_tot in μB/cell: 0.000

Cell lengths 6.9489, 6.9489, 6.9489 Å; angles 90.00, 90.00, 90.00 degrees
Sites, in units of the cell vectors:
Li 0.0000 0.0000 0.0000
Li 0.0000 0.5000 0.5000
Li 0.5000 0.0000 0.5000
Li 0.5000 0.5000 0.0000
Ho 0.2500 0.2500 0.2500
Ho 0.2500 0.7500 0.7500
Ho 0.7500 0.2500 0.7500
Ho 0.7500 0.7500 0.2500
Mg 0.2500 0.2500 0.7500
Mg 0.2500 0.7500 0.2500
Mg 0.7500 0.2500 0.2500
Mg 0.7500 0.7500 0.7500
Al 0.0000 0.0000 0.5000
Al 0.0000 0.5000 0.0000
Al 0.5000 0.0000 0.0000
Al 0.5000 0.5000 0.5000

***

8.
A relaxed CeHg2 crystal. Source: the Alexandria database, functional PBE-GGA.

Output
Calculated formation energy in eV per formula unit: -1.08
Total DFT energy (no corrections) in eV/atom: -2.54
Calculated volume in Å³ per atom: 25.29
M_tot in μB/cell: 1.297

Cell lengths 5.0915, 5.0915, 3.3791 Å; angles 90.00, 90.00, 120.00 degrees
Sites, in units of the cell vectors:
Ce 0.0000 0.0000 0.0000
Hg 0.3333 0.6667 0.5000
Hg 0.6667 0.3333 0.5000

***

9.
A relaxed Sm2Be4Ge3Rh crystal. Source: the Alexandria database, functional PBE-GGA.

Output
Calculated formation energy in eV per formula unit: -4.98
Total DFT energy (no corrections) in eV/atom: -5.05
Calculated volume in Å³ per atom: 15.54
M_tot in μB/cell: 0.000

Cell lengths 3.9656, 3.9656, 9.8818 Å; angles 90.00, 90.00, 90.00 degrees
Sites, in units of the cell vectors:
Sm 0.0000 0.5000 0.2486
Sm 0.5000 0.0000 0.7514
Be 0.0000 0.0000 0.0000
Be 0.0000 0.5000 0.6273
Be 0.5000 0.0000 0.3727
Be 0.5000 0.5000 0.0000
Ge 0.0000 0.5000 0.8671
Ge 0.5000 0.0000 0.1329
Ge 0.5000 0.5000 0.5000
Rh 0.0000 0.0000 0.5000

***

10.
A relaxed TbTm4TlS8 crystal. Source: the Alexandria database, functional PBE-GGA.

Output
Formation energy (no corrections) in eV/atom: -1.81
Total DFT energy (no corrections) in eV/atom: -5.94
Calculated volume in Å³ per atom: 27.22
M_tot in μB/cell: 0.000

Cell lengths 8.1744, 8.1744, 8.1744 Å; angles 59.41, 59.41, 59.41 degrees
Sites, in units of the cell vectors:
Tb 0.0000 0.0000 0.0000
Tm 0.9996 0.9996 0.4833
Tm 0.9996 0.4833 0.9996
Tm 0.4833 0.9996 0.9996
Tm 0.6211 0.6211 0.6211
Tl 0.3685 0.3685 0.3685
S 0.2245 0.7509 0.7509
S 0.2277 0.2277 0.2277
S 0.2319 0.2319 0.7947
S 0.2319 0.7947 0.2319
S 0.7509 0.2245 0.7509
S 0.7509 0.7509 0.2245
S 0.7530 0.7530 0.7530
S 0.7947 0.2319 0.2319

***

11.
A relaxed Ca4MgHg crystal. Source: the Alexandria database, functional PBE-GGA.

Output
Calculated formation energy in eV per formula unit: -0.28
Total DFT energy (no corrections) in eV/atom: -1.70
E above lowest polymorph in eV per atom: 0.1743
Calculated volume in Å³ per atom: 37.92
M_tot in μB/cell: 0.000

Cell lengths 7.6114, 7.6128, 7.8527 Å; angles 90.00, 90.07, 90.00 degrees
Sites, in units of the cell vectors:
Ca 0.2500 0.0000 0.2358
Ca 0.2504 0.9997 0.7642
Ca 0.2496 0.4997 0.2358
Ca 0.2500 0.5000 0.7642
Ca 0.7496 0.9997 0.2358
Ca 0.7500 0.0000 0.7642
Ca 0.7500 0.5000 0.2358
Ca 0.7504 0.4997 0.7642
Mg 0.0000 0.2508 0.5000
Mg 0.5000 0.7508 0.5000
Hg 0.0000 0.7496 0.0000
Hg 0.5000 0.2496 0.0000

***

12.
A relaxed Dy2YIr crystal. Source: the Alexandria database, functional PBE-GGA.

Output
Calculated formation energy in eV per formula unit: -0.53
Total DFT energy (no corrections) in eV/atom: -6.27
E above lowest polymorph in eV per atom: 0.4431
Calculated volume in Å³ per atom: 31.88
M_tot in μB/cell: 2.354

Cell lengths 3.7515, 3.7515, 31.3835 Å; angles 90.00, 90.00, 120.00 degrees
Sites, in units of the cell vectors:
Dy 0.0000 0.0000 0.1134
Dy 0.0000 0.0000 0.8866
Dy 0.3333 0.6667 0.5532
Dy 0.3333 0.6667 0.7801
Dy 0.6667 0.3333 0.2199
Dy 0.6667 0.3333 0.4468
Y 0.0000 0.0000 0.0000
Y 0.3333 0.6667 0.6667
Y 0.6667 0.3333 0.3333
Ir 0.0000 0.0000 0.5000
Ir 0.3333 0.6667 0.1667
Ir 0.6667 0.3333 0.8333

***

13.
A relaxed NaMgNiCl6 crystal. Source: the Alexandria database, functional PBE-GGA.

Output
Formation energy (no corrections) in eV/atom: -1.19
Total DFT energy (no corrections) in eV/atom: -3.39
Calculated volume in Å³ per atom: 23.38
M_tot in μB/cell: 2.000

Cell lengths 6.2579, 6.2579, 12.4087 Å; angles 90.00, 90.00, 120.00 degrees
Sites, in units of the cell vectors:
Na 0.0000 0.0000 0.0000
Na 0.0000 0.0000 0.5000
Mg 0.3333 0.6667 0.2500
Mg 0.6667 0.3333 0.7500
Ni 0.3333 0.6667 0.7500
Ni 0.6667 0.3333 0.2500
Cl 0.0215 0.3765 0.6408
Cl 0.0215 0.6450 0.8592
Cl 0.3550 0.3765 0.8592
Cl 0.3550 0.9785 0.6408
Cl 0.3765 0.0215 0.1408
Cl 0.3765 0.3550 0.3592
Cl 0.6235 0.6450 0.6408
Cl 0.6235 0.9785 0.8592
Cl 0.6450 0.0215 0.3592
Cl 0.6450 0.6235 0.1408
Cl 0.9785 0.3550 0.1408
Cl 0.9785 0.6235 0.3592

***

14.
A relaxed SmDyNp2As4 crystal. Source: the Alexandria database, functional PBE-GGA.

Output
Calculated formation energy in eV per formula unit: -8.61
Total DFT energy (no corrections) in eV/atom: -7.80
Calculated volume in Å³ per atom: 24.95
M_tot in μB/cell: 0.050

Cell lengths 7.1682, 4.1136, 7.1711 Å; angles 90.00, 109.25, 90.00 degrees
Sites, in units of the cell vectors:
Sm 0.0000 0.0000 0.0000
Dy 0.5000 0.5000 0.0000
Np 0.0000 0.5000 0.5000
Np 0.5000 0.0000 0.5000
As 0.2516 0.0000 0.7457
As 0.2552 0.5000 0.2567
As 0.7448 0.5000 0.7433
As 0.7484 0.0000 0.2543

***

15.
A relaxed LiBiCl3 crystal. Source: the Alexandria database, functional PBE-GGA.

Output
Formation energy (no corrections) in eV/atom: -0.75
Total DFT energy (no corrections) in eV/atom: -3.02
E above lowest polymorph in eV per atom: 0.4228
Calculated volume in Å³ per atom: 35.81
M_tot in μB/cell: 0.000

Cell lengths 5.6365, 5.6365, 5.6365 Å; angles 90.00, 90.00, 90.00 degrees
Sites, in units of the cell vectors:
Li 0.0000 0.0000 0.0000
Bi 0.5000 0.5000 0.5000
Cl 0.0000 0.5000 0.5000
Cl 0.5000 0.0000 0.5000
Cl 0.5000 0.5000 0.0000

***

16.
A relaxed Ac2PdO4 crystal. Source: the Alexandria database, functional PBE-GGA.

Output
Formation energy (no corrections) in eV/atom: -2.52
Total DFT energy (no corrections) in eV/atom: -7.27
Calculated volume in Å³ per atom: 16.51
M_tot in μB/cell: 0.001

Cell lengths 4.1818, 4.1818, 13.2142 Å; angles 90.00, 90.00, 90.00 degrees
Sites, in units of the cell vectors:
Ac 0.0000 0.0000 0.1497
Ac 0.0000 0.0000 0.8503
Ac 0.5000 0.5000 0.3503
Ac 0.5000 0.5000 0.6497
Pd 0.0000 0.0000 0.5000
Pd 0.5000 0.5000 0.0000
O 0.0000 0.5000 0.0000
O 0.0000 0.5000 0.2500
O 0.0000 0.5000 0.5000
O 0.0000 0.5000 0.7500
O 0.5000 0.0000 0.0000
O 0.5000 0.0000 0.2500
O 0.5000 0.0000 0.5000
O 0.5000 0.0000 0.7500

***

17.
A relaxed Rb2CdCu2Br6 crystal. Source: the Alexandria database, functional PBE-GGA.

Output
Formation energy (no corrections) in eV/atom: -0.95
Total DFT energy (no corrections) in eV/atom: -2.86
Calculated volume in Å³ per atom: 32.52
M_tot in μB/cell: 0.000

Cell lengths 7.8277, 7.8277, 7.9230 Å; angles 116.49, 116.49, 59.12 degrees
Sites, in units of the cell vectors:
Rb 0.2333 0.2333 0.2155
Rb 0.7667 0.7667 0.7845
Cd 0.0000 0.0000 0.5000
Cu 0.4468 0.4468 0.7970
Cu 0.5532 0.5532 0.2030
Br 0.2002 0.7109 0.2064
Br 0.2450 0.2450 0.6653
Br 0.2891 0.7998 0.7936
Br 0.7109 0.2002 0.2064
Br 0.7550 0.7550 0.3347
Br 0.7998 0.2891 0.7936

***

18.
A relaxed RbV2Te2 crystal. Source: the Alexandria database, functional PBE-GGA.

Output
Formation energy (no corrections) in eV/atom: -0.03
Total DFT energy (no corrections) in eV/atom: -5.13
E above lowest polymorph in eV per atom: 0.0674
Calculated volume in Å³ per atom: 29.38
M_tot in μB/cell: 1.070

Cell lengths 8.7704, 8.7704, 3.8194 Å; angles 90.00, 90.00, 90.00 degrees
Sites, in units of the cell vectors:
Rb 0.0000 0.0000 0.0000
Rb 0.5000 0.5000 0.0000
V 0.0741 0.4259 0.0000
V 0.4259 0.9259 0.0000
V 0.5741 0.0741 0.0000
V 0.9259 0.5741 0.0000
Te 0.1594 0.6594 0.5000
Te 0.3406 0.1594 0.5000
Te 0.6594 0.8406 0.5000
Te 0.8406 0.3406 0.5000

***

19.
A relaxed KBeGaAs2 crystal. Source: the Alexandria database, functional PBE-GGA.

Output
Calculated formation energy in eV per formula unit: -1.74
Total DFT energy (no corrections) in eV/atom: -3.78
Calculated volume in Å³ per atom: 24.00
M_tot in μB/cell: 0.000

Cell lengths 6.6393, 6.6393, 9.5805 Å; angles 96.52, 96.52, 34.92 degrees
Sites, in units of the cell vectors:
K 0.1529 0.1529 0.1620
K 0.8471 0.8471 0.8380
Be 0.1763 0.1763 0.5737
Be 0.8237 0.8237 0.4263
Ga 0.4520 0.4520 0.3214
Ga 0.5480 0.5480 0.6786
As 0.1245 0.1245 0.8044
As 0.3625 0.3625 0.5546
As 0.6375 0.6375 0.4454
As 0.8755 0.8755 0.1956